1.
The following is a PBE calculation of an optimized crystal structure of PmHI2, from the Alexandria database.

total energy: -4.031 eV/atom
magnetization: 0.00 μB per formula unit

Lattice parameters (Å, degrees): 8.6078 8.6078 8.6078 27.61 27.61 27.61
Last column: nearest neighbours and their distance in Å.
Sites, in units of the cell vectors:
Pm: 0.0000 0.0000 0.0000  3 H 2.37
H: 0.3334 0.3334 0.3334  3 Pm 2.37
I: 0.5800 0.5800 0.5800  3 Pm 3.20, 3 H 3.20
I: 0.7534 0.7534 0.7534  3 H 3.20, 3 Pm 3.20

2.
The following is a PBE calculation of an optimized crystal structure of BaDy2Er, from the Alexandria database.

energy relative to the elements: 227 meV/atom
magnetization: 0.01 μB per formula unit

Lattice parameters (Å, degrees): 12.9630 12.9630 12.9630 15.93 15.93 15.93
Last column: nearest neighbours and their distance in Å.
Sites, in units of the cell vectors:
Ba: 0.0000 0.0000 0.0000  6 Ba 3.59, 2 Dy 3.61
Dy: 0.0941 0.0941 0.0941  3 Er 3.47, 6 Dy 3.59, 1 Ba 3.61
Dy: 0.9059 0.9059 0.9059  3 Er 3.47, 6 Dy 3.59, 1 Ba 3.61
Er: 0.5000 0.5000 0.5000  6 Dy 3.47, 6 Er 3.59